Entry 1:
KWO3: relaxed, GGA+U.

Properties
VASP energy   -6.546 eV per atom
Total moment   1.00 μB per formula unit
Volume   161 Å³ per cell

a b c (Å): 3.9569 4.0606 10.3910
angles (deg): 101.27 100.27 90.00
Atoms (fractional coordinates):
O  0.0531  0.8107  0.6215
O  0.5296  0.2954  0.5907
O  0.9469  0.1893  0.3785
O  0.4704  0.7046  0.4093
O  0.3256  0.0924  0.1847
O  0.6744  0.9076  0.8153
W  0.5447  0.8143  0.6287
W  0.4553  0.1857  0.3713
K  0.8339  0.5833  0.1665
K  0.1661  0.4168  0.8335

Entry 2:
K2W2O7: relaxed, GGA+U.

Properties
VASP energy   -6.680 eV per atom
Excess energy over the best structure of this formula in the dataset   70 meV/atom
Total moment   0.00 μB per formula unit
Volume   320 Å³ per cell

a b c (Å): 7.5214 7.6310 7.6310
angles (deg): 63.78 60.47 60.47
Atoms (fractional coordinates):
W  0.5000  0.0000  0.0000
W  0.0000  0.0000  0.5000
W  0.0000  0.5000  0.5000
W  0.5000  0.0000  0.5000
O  0.1930  0.0315  0.2096
O  0.0849  0.6158  0.2143
O  0.6930  0.7096  0.5315
O  0.5849  0.7143  0.1158
O  0.4151  0.2857  0.8842
O  0.2500  0.9225  0.5775
O  0.0659  0.7096  0.5315
O  0.9151  0.3842  0.7857
O  0.8070  0.9685  0.7904
O  0.9341  0.2904  0.4685
O  0.3070  0.2904  0.4685
O  0.5659  0.0315  0.2096
O  0.4341  0.9685  0.7904
O  0.7500  0.0775  0.4225
K  0.5000  0.5000  0.0000
K  0.0000  0.5000  0.0000
K  0.5000  0.5000  0.5000
K  0.0000  0.0000  0.0000

Entry 3:
K5WO5: relaxed, GGA+U.

Properties
VASP energy   -5.043 eV per atom
Total moment   0.50 μB per formula unit
Volume   264 Å³ per cell

a b c (Å): 6.2620 6.4420 7.6016
angles (deg): 98.52 90.00 119.08
Atoms (fractional coordinates):
O  0.0730  0.2759  0.8740
O  0.6330  0.0000  0.0000
O  0.9768  0.8126  0.8026
O  0.1642  0.1874  0.1974
O  0.7972  0.7241  0.1260
K  0.3205  0.6378  0.1559
K  0.3018  0.6774  0.7359
K  0.6244  0.3226  0.2641
K  0.9923  0.0000  0.5000
K  0.6828  0.3622  0.8441
W  0.9340  0.0000  0.0000

Entry 4:
K2YWO6: relaxed, GGA+U.

Properties
VASP energy   -6.839 eV per atom
Total moment   1.03 μB per formula unit
Volume   151 Å³ per cell

a b c (Å): 5.9724 5.9724 5.9724
angles (deg): 60.00 60.00 60.00
Atoms (fractional coordinates):
O  0.0850  0.5464  0.8203
O  0.5464  0.5482  0.8203
O  0.5483  0.0850  0.8203
O  0.5473  0.0858  0.2827
O  0.0858  0.0842  0.2827
O  0.0841  0.5473  0.2827
W  0.3162  0.3162  0.0515
K  0.0661  0.0662  0.8015
K  0.5661  0.5661  0.3016
Y  0.8162  0.8162  0.5515

Entry 5:
K3Y3WO8: relaxed, GGA+U.

Properties
VASP energy   -7.250 eV per atom
Total moment   2.00 μB per formula unit
Volume   255 Å³ per cell

a b c (Å): 6.8121 6.8594 7.4348
angles (deg): 117.49 90.00 119.77
Atoms (fractional coordinates):
O  0.2097  0.9612  0.6725
O  0.2738  0.5476  0.3176
O  0.7903  0.0388  0.3275
O  0.7262  0.4524  0.6824
O  0.2485  0.0388  0.3275
O  0.2170  0.4340  0.6750
O  0.7830  0.5660  0.3250
O  0.7515  0.9612  0.6725
Y  0.0000  0.5000  0.5000
Y  0.5000  0.0000  0.5000
Y  0.5000  0.5000  0.5000
K  0.0000  0.0000  0.0000
K  0.5000  0.5000  0.0000
K  0.0000  0.5000  0.0000
W  0.0000  0.0000  0.5000

Entry 6:
KYWO5: relaxed, GGA+U.

Properties
VASP energy   -7.378 eV per atom
Total moment   0.00 μB per formula unit
Volume   296 Å³ per cell

a b c (Å): 6.4238 6.4238 8.1426
angles (deg): 104.19 104.19 105.64
Atoms (fractional coordinates):
O  0.7597  0.6064  0.4032
O  0.0669  0.9331  0.2500
O  0.9331  0.0669  0.7500
O  0.3936  0.2404  0.0968
O  0.8762  0.3068  0.1212
O  0.1238  0.6932  0.8788
O  0.2404  0.3936  0.5968
O  0.6932  0.1238  0.3788
O  0.6064  0.7597  0.9032
O  0.3068  0.8762  0.6212
W  0.6818  0.3182  0.2500
W  0.3182  0.6818  0.7500
K  0.6842  0.3158  0.7500
K  0.3158  0.6842  0.2500
Y  0.0000  0.0000  0.0000
Y  0.0000  0.0000  0.5000

Entry 7:
K2YW3O12: relaxed, GGA+U.

Properties
VASP energy   -7.140 eV per atom
Total moment   0.97 μB per formula unit
Volume   307 Å³ per cell

a b c (Å): 7.6323 7.6323 7.6323
angles (deg): 59.01 59.01 59.01
Atoms (fractional coordinates):
O  0.0659  0.7006  0.7006
O  0.6424  0.0790  0.0790
O  0.2994  0.9341  0.2994
O  0.2994  0.2994  0.9341
O  0.7006  0.7006  0.0659
O  0.0790  0.6424  0.0790
O  0.0790  0.0790  0.6424
O  0.9341  0.2994  0.2994
O  0.3576  0.9210  0.9210
O  0.9210  0.9210  0.3576
O  0.9210  0.3576  0.9210
O  0.7006  0.0659  0.7006
K  0.6549  0.6549  0.6549
K  0.3451  0.3451  0.3451
Y  0.0000  0.0000  0.0000
W  0.5000  0.0000  0.0000
W  0.0000  0.0000  0.5000
W  0.0000  0.5000  0.0000

Entry 8:
KYW2O8: relaxed, GGA+U.

Properties
VASP energy   -7.566 eV per atom
Total moment   0.00 μB per formula unit
Volume   333 Å³ per cell

a b c (Å): 7.6737 7.6737 7.4610
angles (deg): 62.09 62.09 88.04
Atoms (fractional coordinates):
W  0.2009  0.1919  0.7864
W  0.8081  0.7991  0.7136
W  0.1919  0.2009  0.2864
W  0.7991  0.8081  0.2136
O  0.7481  0.8754  0.9427
O  0.8754  0.7481  0.4427
O  0.5556  0.8606  0.3777
O  0.8733  0.0947  0.4647
O  0.1267  0.9053  0.5353
O  0.1246  0.2519  0.5573
O  0.2691  0.4598  0.6902
O  0.0947  0.8733  0.9647
O  0.5402  0.7309  0.8098
O  0.4444  0.1394  0.6223
O  0.1394  0.4444  0.1223
O  0.9053  0.1267  0.0353
O  0.2519  0.1246  0.0573
O  0.4598  0.2691  0.1902
O  0.7309  0.5402  0.3098
O  0.8606  0.5556  0.8777
K  0.7113  0.2887  0.7500
K  0.2887  0.7113  0.2500
Y  0.7243  0.2757  0.2500
Y  0.2757  0.7243  0.7500

- total moment of number 3 (K5WO5)?
  0.50 μB per formula unit